Here is a geometry-optimized ZnReSe2 structure from Alexandria via LeMat-Bulk. Energies are from PBE.

Formation energy from raw total energies: 0.951 eV per atom
ΔE to the lowest computed polymorph: 874.9 meV per atom
Volume: 68.32 Å³ per cell

a b c (Å): 4.5887 4.5887 4.5887
angles (deg): 60.00 60.00 60.00
With the nearest neighbours (Å) after each atom.
Positions (direct):
Re 0.5000 0.5000 0.5000  4 Zn 2.81, 4 Se 2.81
Se 0.0000 0.0000 0.0000  4 Se 2.81, 4 Zn 2.81
Se 0.2500 0.2500 0.2500  4 Re 2.81, 4 Se 2.81
Zn 0.7500 0.7500 0.7500  4 Re 2.81, 4 Se 2.81

Here is a geometry-optimized Nd5ScTe8 structure from Alexandria via LeMat-Bulk. Energies are from PBE.

Formation energy from raw total energies: -1.351 eV per atom
Volume: 425.42 Å³ per cell

a b c (Å): 8.2069 8.2069 8.2069
angles (deg): 109.99 108.45 109.99
With the nearest neighbours (Å) after each atom.
Positions (direct):
Nd 0.9981 0.3702 0.1282  8 Te 3.18-3.46
Nd 0.8718 0.8699 0.2420  8 Te 3.18-3.46
Nd 0.7580 0.6298 0.6279  8 Te 3.18-3.46
Nd 0.5000 0.0000 0.5000  8 Te 3.18-3.41
Nd 0.3721 0.1301 0.0019  8 Te 3.18-3.46
Sc 0.2500 0.5000 0.7500  4 Te 3.04
Te 0.1350 0.7422 0.0160  1 Sc 3.04, 2 Nd 3.18-3.22
Te 0.9840 0.1190 0.7262  1 Sc 3.04, 2 Nd 3.18-3.22
Te 0.7729 0.2476 0.3715  5 Nd 3.18-3.38, 1 Sc 3.41
Te 0.6285 0.4014 0.8761  5 Nd 3.18-3.38, 1 Sc 3.41
Te 0.4747 0.5986 0.2271  5 Nd 3.18-3.38, 1 Sc 3.41
Te 0.6071 0.8810 0.8650  1 Sc 3.04, 2 Nd 3.18-3.22
Te 0.2738 0.2578 0.3929  1 Sc 3.04, 2 Nd 3.18-3.22
Te 0.1239 0.7524 0.5253  5 Nd 3.18-3.38, 1 Sc 3.41

Number 1 is which compound? ZnReSe2

What is the formation energy from raw total energies in the second record? -1.351 eV per atom

Look up the formation energy from raw total energies of the first one. 0.951 eV per atom

Among the records above, which one has the highest volume? Nd5ScTe8